[1]
# Tb5TlAu2

A geometry-optimized Tb5TlAu2 structure (PBE-GGA, Alexandria).

Cell: 8.1346 8.1346 13.1690 Å, 90.00 90.00 90.00°
With the nearest neighbours (Å) after each atom.
Space group I4/mcm (No. 140)
Asymmetric unit:
Tb1 0.0000 0.0000 0.0000 (multiplicity 4)  4 Au 3.16, 2 Tl 3.29
Tb2 0.1560 0.3440 0.1435 (multiplicity 16)  3 Au 3.04-3.05, 2 Tl 3.38
Tl1 0.0000 0.0000 0.2500 (multiplicity 4)  10 Tb 3.29-3.38
Au1 0.1361 0.3639 0.5000 (multiplicity 8)  8 Tb 3.04-3.16, 1 Au 3.13

Values from the calculation:
* E_form: -539 meV/atom
* volume: 27.2 Å³ per atom
* raw total energy: -4.55 eV/atom

***

[2]
# NdHo2WN4

A geometry-optimized NdHo2WN4 structure (PBE-GGA, Alexandria).

Cell: 3.4136 11.8591 11.9173 Å, 90.00 90.00 90.00°
With the nearest neighbours (Å) after each atom.
Space group Cmcm (No. 63)
Asymmetric unit:
Nd1 0.0000 0.0921 0.2500 (multiplicity 4)  2 N 2.54
Ho1 0.0000 0.3705 0.0377 (multiplicity 8)  5 N 2.28-2.52
W1 0.0000 0.1665 0.7500 (multiplicity 4)  4 N 1.91-2.08
N1 0.0000 0.0000 0.0000 (multiplicity 4)  4 Ho 2.34
N2 0.0000 0.2623 0.6207 (multiplicity 8)  1 W 1.91
N3 0.0000 0.4339 0.2500 (multiplicity 4)  2 W 2.08

Values from the calculation:
* volume: 15.1 Å³ per atom
* raw total energy: -8.65 eV/atom
* formation energy (no corrections): -1128 meV/atom

***

[3]
# Mg2SbOs

A geometry-optimized Mg2SbOs structure (PBE-GGA, Alexandria).

Cell: 3.2242 3.2242 28.0141 Å, 90.00 90.00 120.00°
With the nearest neighbours (Å) after each atom.
Space group R3m (No. 160, hexagonal axes)
Asymmetric unit:
Mg1 0.0000 0.0000 0.0000 (multiplicity 3)  3 Os 2.76
Mg2 0.0000 0.0000 0.2362 (multiplicity 3)  9 Mg 3.22-3.30, 3 Sb 3.28
Sb1 0.0000 0.0000 0.4729 (multiplicity 3)  3 Os 2.64
Os1 0.0000 0.0000 0.7394 (multiplicity 3)  3 Sb 2.64, 3 Mg 2.76

Values from the calculation:
* volume: 21.0 Å³ per atom
* raw total energy: -4.40 eV/atom
* formation energy (no corrections): 231 meV/atom

***

[4]
# Tb2SiRh

A geometry-optimized Tb2SiRh structure (PBE-GGA, Alexandria).

Cell: 5.6639 4.1928 7.9401 Å, 90.00 109.09 90.00°
With the nearest neighbours (Å) after each atom.
Space group P2_1/m (No. 11)
Asymmetric unit:
Tb1 0.1976 0.2500 0.4172 (multiplicity 2)  4 Si 2.98-3.03, 3 Rh 2.98
Tb2 0.2805 0.7500 0.0646 (multiplicity 2)  4 Rh 2.98-3.10, 3 Si 3.01-3.06
Si1 0.3603 0.7500 0.7079 (multiplicity 2)  2 Rh 2.55
Rh1 0.1592 0.2500 0.7829 (multiplicity 2)  2 Si 2.55

Values from the calculation:
* volume: 22.3 Å³ per atom
* raw total energy: -6.33 eV/atom
* formation energy (no corrections): -822 meV/atom

***

no.,total magnetic moment (μB/f.u.)
1,0.00
2,0.00
3,0.00
4,0.00